Model one:
! Ru2Pt (PBE, relaxed); values from VASP
! DOS at the Fermi energy: 1.5018 states/eV per atom
! Space-group type: Fd-3m, No. 227
! Spin magnetization: 3.30 Bohr magnetons per cell
&SYSTEM
  ibrav = 0, nat = 6, ntyp = 2
/
ATOMIC_SPECIES
Ru 101.07 Ru.upf
Pt 195.08 Pt.upf
CELL_PARAMETERS angstrom
0.000 3.589 3.589
3.589 0.000 3.589
3.589 3.589 0.000
ATOMIC_POSITIONS crystal
Ru 0.000 0.000 0.000
Ru 0.000 0.000 0.500
Ru 0.000 0.500 0.000
Ru 0.500 0.000 0.000
Pt 0.375 0.375 0.375
Pt 0.625 0.625 0.625

=====

Model two:
! Ru2Pt (PBE, relaxed); values from VASP
! DOS at the Fermi energy: 0.8555 states/eV per atom
! Space-group type: I4/mmm, No. 139
! Spin magnetization: 0.00 Bohr magnetons per cell
&SYSTEM
  ibrav = 0, nat = 3, ntyp = 2
/
ATOMIC_SPECIES
Ru 101.07 Ru.upf
Pt 195.08 Pt.upf
CELL_PARAMETERS angstrom
-1.363 1.363 5.846
1.363 -1.363 5.846
1.363 1.363 -5.846
ATOMIC_POSITIONS crystal
Ru 0.174 0.174 0.000
Ru 0.826 0.826 0.000
Pt 0.500 0.500 0.000

=====

The most stable arrangement is model two, and the next structure is 0.569 eV/atom less stable.

=====

Model one:
! RuPt3S (PBE, relaxed); values from VASP
! DOS at the Fermi energy: 1.7262 states/eV per atom
! Space-group type: Pm-3m, No. 221
! Spin magnetization: 2.97 Bohr magnetons per cell
&SYSTEM
  ibrav = 0, nat = 5, ntyp = 3
/
ATOMIC_SPECIES
Ru 101.07 Ru.upf
Pt 195.08 Pt.upf
S 32.06 S.upf
CELL_PARAMETERS angstrom
4.476 0.000 0.000
0.000 4.476 0.000
0.000 0.000 4.476
ATOMIC_POSITIONS crystal
Ru 0.000 0.000 0.000
Pt 0.000 0.500 0.500
Pt 0.500 0.000 0.500
Pt 0.500 0.500 0.000
S 0.500 0.500 0.500

=====

Model two:
! RuPt3S (PBE, relaxed); values from VASP
! DOS at the Fermi energy: 1.4617 states/eV per atom
! Space-group type: Pm-3m, No. 221
! Spin magnetization: 0.00 Bohr magnetons per cell
&SYSTEM
  ibrav = 0, nat = 5, ntyp = 3
/
ATOMIC_SPECIES
Ru 101.07 Ru.upf
Pt 195.08 Pt.upf
S 32.06 S.upf
CELL_PARAMETERS angstrom
4.780 0.000 0.000
0.000 4.780 0.000
0.000 0.000 4.780
ATOMIC_POSITIONS crystal
Ru 0.000 0.000 0.000
Pt 0.000 0.000 0.500
Pt 0.000 0.500 0.000
Pt 0.500 0.000 0.000
S 0.500 0.500 0.500

=====

The most stable arrangement is model one, and the next structure is 0.866 eV/atom less stable.

=====

Model one:
! SbRuPt3 (PBE, relaxed); values from VASP
! DOS at the Fermi energy: 1.2073 states/eV per atom
! Space-group type: Pm-3m, No. 221
! Spin magnetization: 0.00 Bohr magnetons per cell
&SYSTEM
  ibrav = 0, nat = 5, ntyp = 3
/
ATOMIC_SPECIES
Sb 121.76 Sb.upf
Ru 101.07 Ru.upf
Pt 195.08 Pt.upf
CELL_PARAMETERS angstrom
4.810 0.000 0.000
0.000 4.810 0.000
0.000 0.000 4.810
ATOMIC_POSITIONS crystal
Sb 0.000 0.000 0.000
Ru 0.500 0.500 0.500
Pt 0.000 0.500 0.500
Pt 0.500 0.000 0.500
Pt 0.500 0.500 0.000

=====

Model two:
! SbRuPt3 (PBE, relaxed); values from VASP
! DOS at the Fermi energy: 0.9442 states/eV per atom
! Space-group type: Pm-3m, No. 221
! Spin magnetization: 3.15 Bohr magnetons per cell
&SYSTEM
  ibrav = 0, nat = 5, ntyp = 3
/
ATOMIC_SPECIES
Sb 121.76 Sb.upf
Ru 101.07 Ru.upf
Pt 195.08 Pt.upf
CELL_PARAMETERS angstrom
4.896 0.000 0.000
0.000 4.896 0.000
0.000 0.000 4.896
ATOMIC_POSITIONS crystal
Sb 0.000 0.000 0.000
Ru 0.500 0.500 0.500
Pt 0.000 0.000 0.500
Pt 0.000 0.500 0.000
Pt 0.500 0.000 0.000

=====

The most stable arrangement is model one, and the next structure is 0.228 eV/atom less stable.